VASP calculation (PBE) on a geometry-optimized Pr4RuAu2 structure.

a b c (Å): 6.3594 6.3594 8.8469
angles (deg): 119.07 119.07 40.22
Element x y z (fractional)
Pr 0.0753 0.0753 0.3590
Pr 0.3284 0.3284 0.9301
Pr 0.6716 0.6716 0.0699
Pr 0.9247 0.9247 0.6410
Ru 0.0000 0.0000 0.0000
Au 0.3632 0.3632 0.3369
Au 0.6368 0.6368 0.6631

Values from the calculation:
ρ ... 8.89 g/cm3
Energy relative to the elements ... -0.4875 eV/atom
Space group ... C2/m

***

VASP calculation (PBE) on a geometry-optimized Li2TlO structure.

a b c (Å): 5.8981 5.8981 5.8981
angles (deg): 60.00 60.00 60.00
Element x y z (fractional)
Li 0.0000 0.0000 0.0000
Li 0.0000 0.0000 0.5000
Li 0.0000 0.5000 0.0000
Li 0.5000 0.0000 0.0000
Tl 0.3750 0.3750 0.3750
Tl 0.6250 0.6250 0.6250
O 0.1250 0.1250 0.1250
O 0.8750 0.8750 0.8750

Values from the calculation:
ρ ... 5.36 g/cm3
Space group ... Fd-3m
Formation energy from raw total energies ... -4.14 eV per formula unit

***

VASP calculation (PBE) on a geometry-optimized LaDy2CrN4 structure.

a b c (Å): 6.0972 6.0972 11.6581
angles (deg): 90.00 90.00 147.28
Element x y z (fractional)
La 0.0924 0.9076 0.7500
La 0.9076 0.0924 0.2500
Dy 0.3692 0.6308 0.5434
Dy 0.3692 0.6308 0.9566
Dy 0.6308 0.3692 0.0434
Dy 0.6308 0.3692 0.4566
Cr 0.1696 0.8304 0.2500
Cr 0.8304 0.1696 0.7500
N 0.0000 0.0000 0.0000
N 0.0000 0.0000 0.5000
N 0.2637 0.7363 0.1261
N 0.2637 0.7363 0.3739
N 0.4166 0.5834 0.7500
N 0.5834 0.4166 0.2500
N 0.7363 0.2637 0.6261
N 0.7363 0.2637 0.8739

Values from the calculation:
ρ ... 8.11 g/cm3
Space group ... Cmcm
Formation energy from raw total energies ... -10.19 eV per formula unit

***

VASP calculation (PBE) on a geometry-optimized PrTmZnIn structure.

a b c (Å): 3.6796 3.6796 7.5831
angles (deg): 90.00 90.00 90.00
Element x y z (fractional)
Pr 0.0000 0.0000 0.0000
Tm 0.0000 0.0000 0.4608
Zn 0.5000 0.5000 0.2582
In 0.5000 0.5000 0.7124

Values from the calculation:
ρ ... 7.93 g/cm3
Energy relative to the elements ... -0.4035 eV/atom
Space group ... P4mm